VASP calculation (PBE-GGA) on an optimized crystal structure of Zn4Pb3.

Cell: 9.144 9.144 4.447 Å, 90.00 90.00 120.00°
Positions (direct):
Zn (0.041, 0.849, 0.250)
Zn (0.151, 0.192, 0.250)
Zn (0.192, 0.041, 0.750)
Zn (0.333, 0.667, 0.250)
Zn (0.667, 0.333, 0.750)
Zn (0.808, 0.959, 0.250)
Zn (0.849, 0.808, 0.750)
Zn (0.959, 0.151, 0.750)
Pb (0.097, 0.658, 0.750)
Pb (0.342, 0.440, 0.750)
Pb (0.440, 0.097, 0.250)
Pb (0.560, 0.903, 0.750)
Pb (0.658, 0.560, 0.250)
Pb (0.903, 0.342, 0.250)

* raw total energy: -2.1690 eV per atom
* symmetry: P6_3/m (176)